# Sr2Sb

Crystalline Sr2Sb at its relaxed geometry (PBEsol, the Alexandria database).

Formation energy (no corrections): -2.4 eV/f.u.

Structure (POSCAR):
```
Sr2Sb
1.0
4.719 0.000 0.000
-2.360 6.631 0.000
0.000 0.000 7.178
Sb Sr
2 4
Cartesian
0.000 1.552 6.978
2.360 5.078 3.389
0.000 6.629 5.183
2.360 0.001 1.594
0.000 2.754 3.391
2.360 3.877 6.980
```


# Sr11Sb10

Crystalline Sr11Sb10 at its relaxed geometry (PBEsol, the Alexandria database).

Formation energy (no corrections): -21.1 eV/f.u.

Structure (POSCAR):
```
Sr11Sb10
1.0
12.403 0.000 0.000
-6.202 10.958 -0.001
0.000 7.020 10.225
Sb Sr
20 22
Cartesian
6.202 10.744 7.669
0.000 7.234 2.556
6.202 9.154 1.238
0.000 8.825 8.987
4.701 2.661 3.875
7.703 4.360 6.350
7.703 2.661 3.875
4.701 4.360 6.350
4.393 0.000 0.000
8.010 0.000 0.000
0.000 2.487 3.622
0.000 4.534 6.604
8.797 7.641 5.425
3.606 4.702 1.146
3.606 7.641 5.425
8.797 4.702 1.146
-2.595 13.276 9.079
2.595 10.338 4.799
2.595 13.276 9.079
-2.595 10.338 4.799
6.202 5.892 3.477
0.000 12.086 6.748
2.108 1.193 1.738
10.296 5.827 8.488
10.296 1.193 1.738
2.108 5.827 8.488
6.202 9.906 4.501
6.202 13.400 9.589
3.086 8.143 1.932
-3.086 8.143 1.932
0.000 4.579 0.636
0.000 8.072 5.724
3.116 9.836 8.293
9.288 9.836 8.293
6.202 7.403 7.459
6.202 2.719 0.637
2.064 5.061 4.048
10.339 5.061 4.048
0.000 15.260 9.588
0.000 10.576 2.765
4.138 12.918 6.176
-4.138 12.918 6.176
```


# Sr5Sb

Crystalline Sr5Sb at its relaxed geometry (PBEsol, the Alexandria database).

Formation energy (no corrections): -1.8 eV/f.u.

Structure (POSCAR):
```
Sr5Sb
1.0
5.017 0.000 0.000
0.000 5.688 0.000
-2.509 0.000 8.718
Sb Sr
1 5
Cartesian
2.509 0.000 0.000
2.509 0.000 6.184
0.000 0.000 2.534
0.000 2.844 0.000
0.000 2.844 5.817
2.509 2.844 2.901
```


# SrTa2Sb

Crystalline SrTa2Sb at its relaxed geometry (PBEsol, the Alexandria database).

Formation energy (no corrections): 2.5 eV/f.u.

Structure (POSCAR):
```
SrTa2Sb
1.0
3.038 -0.008 0.000
-0.180 5.450 0.000
-1.429 -2.721 5.279
Sb Sr Ta
1 1 2
Cartesian
-0.090 2.725 0.000
1.519 -0.004 0.000
0.714 1.361 2.640
-0.714 -1.361 2.640
```


# SrTa2Sb

Crystalline SrTa2Sb at its relaxed geometry (PBEsol, the Alexandria database).

Formation energy (no corrections): 2.4 eV/f.u.

Structure (POSCAR):
```
SrTa2Sb
1.0
4.245 0.000 0.000
0.000 4.245 0.000
0.000 0.000 4.874
Sb Sr Ta
1 1 2
Cartesian
2.122 2.122 2.437
0.000 0.000 2.437
0.000 2.122 0.000
2.122 0.000 0.000
```


# SrTa2Sb

Crystalline SrTa2Sb at its relaxed geometry (PBEsol, the Alexandria database).

Formation energy (no corrections): 2.3 eV/f.u.

Structure (POSCAR):
```
SrTa2Sb
1.0
-2.360 -0.334 -4.343
-1.468 -4.420 -1.688
-4.822 -1.130 -0.118
Sb Sr Ta
1 1 2
Cartesian
-4.325 -2.942 -3.074
-2.162 -1.471 -1.537
0.000 0.000 0.000
-6.487 -4.413 -4.611
```


> What is the formation energy (no corrections) in the sixth record?

2.3 eV/f.u.


> What is the formation energy (no corrections) in the fourth record?

2.5 eV/f.u.